[1]
This record from Alexandria via LeMat-Bulk describes a relaxed Ca4ScPb5 crystal. The functional is GGA-PBE.

calculated density = 6.96 g cm⁻³
raw total energy = -3.754 eV per atom

a b c (Å): 3.8523 3.8523 19.9667
angles (deg): 90.00 90.00 90.00
Space group P4/mmm (No. 123)
Unique sites:
Ca  0.0000  0.0000  0.1050 x2
Ca  0.0000  0.0000  0.3129 x2
Sc  0.0000  0.0000  0.5000 x1
Pb  0.5000  0.5000  0.0000 x1
Pb  0.5000  0.5000  0.2114 x2
Pb  0.5000  0.5000  0.4173 x2

=====

[2]
This record from Alexandria via LeMat-Bulk describes a relaxed TaCuMo2 crystal. The functional is GGA-PBE.

calculated density = 11.57 g cm⁻³
offset from the most stable computed form = 0.027 eV/atom
raw total energy = -9.305 eV per atom

a b c (Å): 3.2518 4.3969 8.7608
angles (deg): 90.00 90.00 90.00
Space group Cmm2 (No. 35)
Unique sites:
Ta  0.0000  0.0000  0.0000 x2
Cu  0.0000  0.5000  0.2459 x2
Mo  0.0000  0.0000  0.4862 x2
Mo  0.0000  0.5000  0.7367 x2

=====

[3]
This record from Alexandria via LeMat-Bulk describes a relaxed Ce12Ru6N crystal. The functional is GGA-PBE.

calculated density = 7.95 g cm⁻³
raw total energy = -7.416 eV per atom

a b c (Å): 11.7605 11.7605 12.0429
angles (deg): 90.00 90.00 120.00
Space group R-3 (No. 148, hexagonal axes)
Unique sites:
Ce  0.0113  0.1917  0.3852 x18
Ce  0.0184  0.1814  0.8806 x18
Ru  0.0409  0.2731  0.6394 x18
N  0.0000  0.0000  0.0000 x3

=====

[4]
This record from Alexandria via LeMat-Bulk describes a relaxed AgMoAs2 crystal. The functional is GGA-PBE.

calculated density = 8.19 g cm⁻³
offset from the most stable computed form = 0.180 eV/atom
raw total energy = -5.562 eV per atom

a b c (Å): 8.4815 3.1613 5.4271
angles (deg): 90.00 99.67 90.00
Space group C2/m (No. 12)
Unique sites:
Ag  0.0000  0.0000  0.0000 x2
Mo  0.0000  0.5000  0.5000 x2
As  0.2269  0.0000  0.7011 x4

=====

[5]
This record from Alexandria via LeMat-Bulk describes a relaxed KTeBr2 crystal. The functional is GGA-PBE.

calculated density = 3.48 g cm⁻³
offset from the most stable computed form = 0.132 eV/atom
raw total energy = -2.552 eV per atom

a b c (Å): 5.6035 4.8193 5.7746
angles (deg): 90.00 93.07 90.00
Space group P2/m (No. 10)
Unique sites:
K  0.0000  0.0000  0.0000 x1
Te  0.5000  0.0000  0.5000 x1
Br  0.2921  0.5000  0.7121 x2

=====

[6]
This record from Alexandria via LeMat-Bulk describes a relaxed K5HI4 crystal. The functional is GGA-PBE.

calculated density = 2.73 g cm⁻³
offset from the most stable computed form = 0.011 eV/atom
raw total energy = -2.688 eV per atom

a b c (Å): 4.9826 4.9826 34.4676
angles (deg): 90.00 90.00 90.00
Space group I4/mmm (No. 139)
Unique sites:
K  0.0000  0.0000  0.0000 x2
K  0.0000  0.0000  0.2003 x4
K  0.0000  0.0000  0.4135 x4
H  0.0000  0.0000  0.5000 x2
I  0.0000  0.0000  0.0971 x4
I  0.0000  0.0000  0.3044 x4

=====

[7]
This record from Alexandria via LeMat-Bulk describes a relaxed PmMnGe crystal. The functional is GGA-PBE.

calculated density = 6.05 g cm⁻³
offset from the most stable computed form = 0.252 eV/atom
raw total energy = -6.310 eV per atom

a b c (Å): 4.3302 7.5104 9.2088
angles (deg): 90.00 90.00 90.00
Space group Cmc2_1 (No. 36)
Unique sites:
Pm  0.0000  0.1678  0.0000 x4
Mn  0.0000  0.4985  0.7357 x4
Ge  0.0000  0.1651  0.6783 x4

=====

[8]
This record from Alexandria via LeMat-Bulk describes a relaxed Rb2AsI6O crystal. The functional is GGA-PBE.

calculated density = 4.19 g cm⁻³
raw total energy = -2.605 eV per atom

a b c (Å): 9.0825 9.0825 9.8321
angles (deg): 90.00 90.00 90.00
Space group I4/mmm (No. 139)
Unique sites:
Rb  0.0000  0.5000  0.2500 x4
As  0.0000  0.0000  0.0000 x2
I  0.0000  0.0000  0.2871 x4
I  0.2239  0.2239  0.0000 x8
O  0.0000  0.0000  0.5000 x2

=====

[9]
This record from Alexandria via LeMat-Bulk describes a relaxed Ac6Ni2PtRh crystal. The functional is GGA-PBE.

calculated density = 8.74 g cm⁻³
raw total energy = -5.438 eV per atom

a b c (Å): 7.4832 7.4846 8.1925
angles (deg): 62.83 62.84 60.05
Space group P1 (No. 1)
Unique sites:
Ac  0.0000  0.0000  0.0000 x1
Ac  0.1416  0.4967  0.5074 x1
Ac  0.3260  0.3100  0.9999 x1
Ac  0.4914  0.8136  0.5076 x1
Ac  0.6362  0.6742  0.0000 x1
Ac  0.8242  0.1638  0.5076 x1
Ni  0.2330  0.9065  0.2645 x1
Ni  0.7322  0.4057  0.7670 x1
Pt  0.9078  0.5809  0.2399 x1
Rh  0.4093  0.0824  0.7352 x1

=====

[10]
This record from Alexandria via LeMat-Bulk describes a relaxed Th3Cu2Ni9 crystal. The functional is GGA-PBE.

calculated density = 10.43 g cm⁻³
raw total energy = -6.231 eV per atom

a b c (Å): 3.9930 8.8051 12.2364
angles (deg): 90.00 90.00 90.00
Space group Immm (No. 71)
Unique sites:
Th  0.0000  0.0000  0.0000 x2
Th  0.0000  0.0000  0.3117 x4
Cu  0.0000  0.2154  0.5000 x4
Ni  0.0000  0.2734  0.1166 x8
Ni  0.0000  0.3563  0.3186 x8
Ni  0.0000  0.5000  0.0000 x2

=====

[11]
This record from Alexandria via LeMat-Bulk describes a relaxed MnAs2C crystal. The functional is GGA-PBE.

calculated density = 5.54 g cm⁻³
raw total energy = -6.289 eV per atom

a b c (Å): 5.4582 5.4582 8.7306
angles (deg): 90.00 90.00 90.00
Space group I-42d (No. 122)
Unique sites:
Mn  0.0000  0.0000  0.0000 x4
As  0.1924  0.2500  0.6250 x8
C  0.0000  0.0000  0.5000 x4

=====

[12]
This record from Alexandria via LeMat-Bulk describes a relaxed Cu6Pd crystal. The functional is GGA-PBE.

calculated density = 9.25 g cm⁻³
offset from the most stable computed form = 0.000 eV/atom
raw total energy = -4.274 eV per atom

a b c (Å): 4.1288 4.1288 17.7925
angles (deg): 90.00 90.00 120.00
Space group R-3m (No. 166, hexagonal axes)
Unique sites:
Cu  0.0000  0.0000  0.0717 x6
Cu  0.0000  0.0000  0.2182 x6
Cu  0.0000  0.0000  0.3553 x6
Pd  0.0000  0.0000  0.5000 x3